[1]
VASP calculation (GGA-PBE) on a relaxed Ho2Tm3Zr crystal.

Output
* ΔH_f (0 K): 0.17 eV per atom

a = 17.0573 Å, b = 3.3497 Å, c = 13.7868 Å
α = 90.00°, β = 116.44°, γ = 90.00°
Closest atoms and distances in Å follow each position.
Space group C2/m (No. 12)
Unique sites:
Ho1 0.1490 0.0000 0.4682 x4  2 Zr 3.28-3.35, 4 Ho 3.35-3.57, 5 Tm 3.36-3.53
Ho2 0.1782 0.5000 0.8775 x4  5 Tm 3.19-3.43, 2 Zr 3.34, 2 Ho 3.35
Tm1 0.0348 0.5000 0.2191 x4  3 Ho 3.27-3.53, 4 Tm 3.35-3.58, 2 Zr 3.46
Tm2 0.0991 0.0000 0.0295 x4  4 Tm 3.10-3.42, 3 Ho 3.40-3.43
Tm3 0.2466 0.0000 0.2972 x4  4 Ho 3.19-3.44, 3 Tm 3.35-3.42, 2 Zr 3.38
Zr1 0.0659 0.0000 0.6472 x4  4 Ho 3.28-3.35, 3 Zr 3.35-3.66, 4 Tm 3.38-3.46

---

[2]
VASP calculation (GGA-PBE) on a relaxed Pr2TmSb3Pt4 crystal.

Output
* raw formation energy: -0.96 eV per atom

a = 4.5240 Å, b = 4.5240 Å, c = 11.4313 Å
α = 90.00°, β = 90.00°, γ = 90.00°
Closest atoms and distances in Å follow each position.
Space group P-4m2 (No. 115)
Unique sites:
Pr1 0.0000 0.5000 0.2164 x2  4 Sb 3.34, 8 Pt 3.35-3.59
Tm1 0.0000 0.0000 0.5000 x1  4 Pt 2.78
Sb1 0.0000 0.5000 0.8688 x2  5 Pt 2.61-2.71
Sb2 0.5000 0.5000 0.5000 x1  4 Pt 2.78
Pt1 0.0000 0.0000 0.0000 x1  4 Sb 2.71
Pt2 0.0000 0.5000 0.6409 x2  3 Sb 2.61-2.78, 2 Tm 2.78
Pt3 0.5000 0.5000 0.0000 x1  4 Sb 2.71

---

Number 1: DOS at the Fermi energy 1.52 states/eV per atom, calculated total energy -120.30 eV per cell. Number 2: DOS at the Fermi energy 0.26 states/eV per atom, calculated total energy -60.21 eV per cell.